Crystalline Ba2LaHgN at its relaxed geometry, computed with PBE.

Uncorrected formation energy (eV per atom): -0.524
Crystal system: tetragonal
Raw total energy (hartree per atom): -0.147

Cell lengths 5.8455, 5.8455, 4.8222 Å; angles 90.00, 90.00, 90.00 degrees
Space group P4/mmm (No. 123)
One atom of each set of equivalent atoms:
Ba (0.0000, 0.5000, 0.0000)
La (0.0000, 0.0000, 0.5000)
Hg (0.5000, 0.5000, 0.5000)
N (0.0000, 0.0000, 0.0000)